# Li2LaIr (SCAN, PBEsol geometry)
data_Li2LaIr
_chemical_formula_sum 'Li2 La1 Ir1'
_cell_length_a 2.9842
_cell_length_b 4.2414
_cell_length_c 5.5413
_cell_angle_alpha 90.00
_cell_angle_beta 90.00
_cell_angle_gamma 90.00
_symmetry_space_group_name_H-M 'P m m m'
_symmetry_Int_Tables_number 47
loop_
_symmetry_equiv_pos_as_xyz
'x,y,z'
'-x,-y,-z'
'-x,-y,z'
'x,y,-z'
'x,-y,-z'
'-x,y,z'
'-x,y,-z'
'x,-y,z'
loop_
_atom_site_label
_atom_site_type_symbol
_atom_site_fract_x
_atom_site_fract_y
_atom_site_fract_z
Li1 Li 0.0000 0.0000 0.1887
La1 La 0.5000 0.5000 0.5000
Ir1 Ir 0.5000 0.5000 0.0000
# - ΔE_f: -0.4 eV per formula unit
# - Offset from the most stable computed form: 292 meV/atom
# - DOS(E_F): 2.078 states/eV/f.u.
# - Magnetization: 0.00 μB/f.u.